Density functional theory data (PBE) for an optimized crystal structure of PaMn3Pd12.

## Properties
- final energy (eV/atom) = -6.592
- density of states at the Fermi level (states/eV/atom) = 0.855
- ΔH_f (0 K) (eV per atom) = -0.38

Cell lengths 4.023, 4.023, 15.675 Å; angles 90.00, 90.00, 90.00 degrees
Atoms (fractional coordinates):
Pa: 0.000 0.000 0.000
Mn: 0.000 0.000 0.260
Mn: 0.000 0.000 0.500
Mn: 0.000 0.000 0.740
Pd: 0.000 0.500 0.130
Pd: 0.000 0.500 0.379
Pd: 0.000 0.500 0.621
Pd: 0.000 0.500 0.870
Pd: 0.500 0.000 0.130
Pd: 0.500 0.000 0.379
Pd: 0.500 0.000 0.621
Pd: 0.500 0.000 0.870
Pd: 0.500 0.500 0.000
Pd: 0.500 0.500 0.256
Pd: 0.500 0.500 0.500
Pd: 0.500 0.500 0.744


Density functional theory data (PBE) for an optimized crystal structure of GaTcIr3.

## Properties
- final energy (eV/atom) = -6.435
- density of states at the Fermi level (states/eV/atom) = 0.992
- energy relative to the lowest polymorph listed for this composition (meV per atom) = 84
- ΔH_f (0 K) (eV per atom) = 1.56

Cell lengths 4.723, 4.723, 4.723 Å; angles 90.00, 90.00, 90.00 degrees
Atoms (fractional coordinates):
Ga: 0.000 0.000 0.000
Tc: 0.500 0.500 0.500
Ir: 0.000 0.500 0.500
Ir: 0.500 0.000 0.500
Ir: 0.500 0.500 0.000


Density functional theory data (PBE) for an optimized crystal structure of HoPaCdPb.

## Properties
- final energy (eV/atom) = -4.650
- density of states at the Fermi level (states/eV/atom) = 2.306
- ΔH_f (0 K) (eV per atom) = 0.02

Cell lengths 5.351, 5.351, 5.351 Å; angles 60.00, 60.00, 60.00 degrees
Atoms (fractional coordinates):
Ho: 0.000 0.000 0.000
Pa: 0.500 0.500 0.500
Cd: 0.250 0.250 0.250
Pb: 0.750 0.750 0.750


Density functional theory data (PBE) for an optimized crystal structure of Na8Tl3Cd2.

## Properties
- final energy (eV/atom) = -1.546
- density of states at the Fermi level (states/eV/atom) = 0.514
- energy relative to the lowest polymorph listed for this composition (meV per atom) = 0
- ΔH_f (0 K) (eV per atom) = -0.05

Cell lengths 8.420, 8.420, 5.861 Å; angles 106.84, 106.84, 84.85 degrees
Atoms (fractional coordinates):
Na: 0.071 0.071 0.286
Na: 0.097 0.576 0.844
Na: 0.358 0.358 0.416
Na: 0.424 0.903 0.156
Na: 0.576 0.097 0.844
Na: 0.642 0.642 0.584
Na: 0.903 0.424 0.156
Na: 0.929 0.929 0.714
Tl: 0.239 0.761 0.500
Tl: 0.500 0.500 0.000
Tl: 0.761 0.239 0.500
Cd: 0.204 0.204 0.853
Cd: 0.796 0.796 0.147